Record 1
This record from Alexandria describes Sr2IrW after structural relaxation. The functional is GGA-PBE.

Output
N(E_F) in states/eV/cell: 3.38
Energy relative to the lowest polymorph listed for this composition in eV/atom: 0.7997
VASP energy in eV/cell: -20.64
Total magnetic moment in μB/cell: 3.709
Formation energy in eV per atom: 1.134

abc: 5.2396 5.2396 5.2396
angles: 60.00 60.00 60.00
Closest atoms and distances in Å follow each position.
Atoms (fractional coordinates):
1 Sr 0.2500 0.2500 0.2500  4 W 3.21, 4 Ir 3.21
2 Sr 0.7500 0.7500 0.7500  4 W 3.21, 4 Ir 3.21
3 Ir 0.5000 0.5000 0.5000  8 Sr 3.21
4 W 0.0000 0.0000 0.0000  8 Sr 3.21



Record 2
This record from Alexandria describes Hf5Sc after structural relaxation. The functional is GGA-PBE.

Output
N(E_F) in states/eV/cell: 3.44
Energy relative to the lowest polymorph listed for this composition in eV/atom: 0.0000
VASP energy in eV/cell: -56.18
Total magnetic moment in μB/cell: 0.000
Formation energy in eV per atom: -0.013

abc: 5.5607 5.5607 5.0519
angles: 90.00 90.00 120.00
Closest atoms and distances in Å follow each position.
Atoms (fractional coordinates):
1 Hf 0.6616 0.0000 0.0000  10 Hf 3.12-3.26, 2 Sc 3.15
2 Hf 0.0000 0.6616 0.0000  10 Hf 3.12-3.26, 2 Sc 3.15
3 Hf 0.3384 0.3384 0.0000  10 Hf 3.12-3.26, 2 Sc 3.15
4 Hf 0.3333 0.6667 0.5000  9 Hf 3.12-3.21, 3 Sc 3.21
5 Hf 0.6667 0.3333 0.5000  9 Hf 3.12-3.21, 3 Sc 3.21
6 Sc 0.0000 0.0000 0.5000  12 Hf 3.15-3.21



Record 3
This record from Alexandria describes V4FeRe after structural relaxation. The functional is GGA-PBE.

Output
N(E_F) in states/eV/cell: 6.10
Energy relative to the lowest polymorph listed for this composition in eV/atom: 0.6502
VASP energy in eV/cell: -54.84
Total magnetic moment in μB/cell: 0.000
Formation energy in eV per atom: 0.424

abc: 3.8567 4.1680 5.7900
angles: 83.92 89.99 90.00
Closest atoms and distances in Å follow each position.
Atoms (fractional coordinates):
1 V 0.5013 0.9717 0.2609  2 Fe 2.38, 2 Re 2.53-2.62
2 V 0.5013 0.0231 0.7351  2 Fe 2.38, 2 Re 2.53-2.62
3 V 0.0013 0.5121 0.7307  1 Fe 2.31, 2 Re 2.47
4 V 0.0012 0.4822 0.2657  1 Fe 2.31, 2 Re 2.47
5 Fe 0.0014 0.9972 0.4982  6 V 2.31-2.38
6 Re 0.5013 0.4974 0.9982  8 V 2.47-2.62



Record 4
This record from Alexandria describes Er2CrC after structural relaxation. The functional is GGA-PBE.

Output
N(E_F) in states/eV/cell: 3.25
VASP energy in eV/cell: -27.28
Total magnetic moment in μB/cell: 3.661
Formation energy in eV per atom: 0.174

abc: 3.5016 3.5016 8.0180
angles: 77.39 77.39 60.00
Closest atoms and distances in Å follow each position.
Atoms (fractional coordinates):
1 Cr 0.0000 0.0000 0.0000  6 Er 3.24, 6 Cr 3.50
2 C 0.5000 0.5000 0.5000  6 Er 2.43
3 Er 0.2247 0.2247 0.3258  3 C 2.43
4 Er 0.7753 0.7753 0.6742  3 C 2.43



Record 5
This record from Alexandria describes Ba2AcCd3 after structural relaxation. The functional is GGA-PBE.

Output
N(E_F) in states/eV/cell: 4.61
Energy relative to the lowest polymorph listed for this composition in eV/atom: 0.0000
VASP energy in eV/cell: -12.60
Total magnetic moment in μB/cell: 0.001
Formation energy in eV per atom: -0.316

abc: 4.1814 4.1814 12.6648
angles: 90.00 90.00 90.00
Closest atoms and distances in Å follow each position.
Atoms (fractional coordinates):
1 Ba 0.5000 0.5000 0.8279  8 Cd 3.67-3.70
2 Ba 0.5000 0.5000 0.1721  8 Cd 3.67-3.70
3 Ac 0.5000 0.5000 0.5000  8 Cd 3.53
4 Cd 0.0000 0.0000 0.0000  8 Ba 3.67
5 Cd 0.0000 0.0000 0.6519  4 Ac 3.53, 4 Ba 3.70, 1 Cd 3.85
6 Cd 0.0000 0.0000 0.3481  4 Ac 3.53, 4 Ba 3.70, 1 Cd 3.85



Record 6
This record from Alexandria describes TbNd5Er5 after structural relaxation. The functional is GGA-PBE.

Output
N(E_F) in states/eV/cell: 21.99
VASP energy in eV/cell: -48.11
Total magnetic moment in μB/cell: 0.001
Formation energy in eV per atom: 0.288

abc: 6.0991 6.0991 11.8013
angles: 90.00 90.00 120.00
Closest atoms and distances in Å follow each position.
Atoms (fractional coordinates):
1 Tb 0.3333 0.6667 0.0000  5 Nd 3.52-3.72
2 Nd 0.6667 0.3333 0.1530  7 Nd 3.61-4.01, 3 Er 3.76, 3 Tb 3.96
3 Nd 0.6667 0.3333 0.8470  7 Nd 3.61-4.01, 3 Er 3.76, 3 Tb 3.96
4 Nd 0.3333 0.6667 0.3155  9 Er 3.57-3.75, 1 Tb 3.72
5 Nd 0.3333 0.6667 0.6845  9 Er 3.57-3.75, 1 Tb 3.72
6 Nd 0.0000 0.0000 0.0000  2 Er 3.14
7 Er 0.3329 0.1665 0.5000  6 Er 3.05-3.28
8 Er 0.0000 0.0000 0.2659  1 Nd 3.14, 3 Er 3.28
9 Er 0.8335 0.6671 0.5000  6 Er 3.05-3.28
10 Er 0.8335 0.1665 0.5000  6 Er 3.05-3.28
11 Er 0.0000 0.0000 0.7341  1 Nd 3.14, 3 Er 3.28



Record 7
This record from Alexandria describes PrDy2Tc after structural relaxation. The functional is GGA-PBE.

Output
N(E_F) in states/eV/cell: 14.03
Energy relative to the lowest polymorph listed for this composition in eV/atom: 0.0000
VASP energy in eV/cell: -98.17
Total magnetic moment in μB/cell: 0.000
Formation energy in eV per atom: -0.048

abc: 6.4019 7.5199 9.2349
angles: 90.00 90.00 90.00
Closest atoms and distances in Å follow each position.
Atoms (fractional coordinates):
1 Pr 0.6261 0.5434 0.2500  2 Tc 2.80-2.94
2 Pr 0.8739 0.0434 0.2500  2 Tc 2.80-2.94
3 Pr 0.3739 0.4566 0.7500  2 Tc 2.80-2.94
4 Pr 0.1261 0.9566 0.7500  2 Tc 2.80-2.94
5 Dy 0.1590 0.6751 0.0649  2 Tc 2.86-2.99
6 Dy 0.3410 0.1751 0.4351  2 Tc 2.86-2.99
7 Dy 0.8410 0.3249 0.5649  2 Tc 2.86-2.99
8 Dy 0.6590 0.8249 0.9351  2 Tc 2.86-2.99
9 Dy 0.8410 0.3249 0.9351  2 Tc 2.86-2.99
10 Dy 0.6590 0.8249 0.5649  2 Tc 2.86-2.99
11 Dy 0.1590 0.6751 0.4351  2 Tc 2.86-2.99
12 Dy 0.3410 0.1751 0.0649  2 Tc 2.86-2.99
13 Tc 0.0466 0.3853 0.2500  2 Pr 2.80-2.94, 4 Dy 2.86-2.99
14 Tc 0.4534 0.8853 0.2500  2 Pr 2.80-2.94, 4 Dy 2.86-2.99
15 Tc 0.9534 0.6147 0.7500  2 Pr 2.80-2.94, 4 Dy 2.86-2.99
16 Tc 0.5466 0.1147 0.7500  2 Pr 2.80-2.94, 4 Dy 2.86-2.99



Record 8
This record from Alexandria describes CaPr2Ho after structural relaxation. The functional is GGA-PBE.

Output
N(E_F) in states/eV/cell: 5.20
Energy relative to the lowest polymorph listed for this composition in eV/atom: 0.0000
VASP energy in eV/cell: -16.02
Total magnetic moment in μB/cell: 0.000
Formation energy in eV per atom: 0.029

abc: 3.6759 3.6759 12.4120
angles: 81.48 81.48 60.00
Closest atoms and distances in Å follow each position.
Atoms (fractional coordinates):
1 Pr 0.7452 0.7452 0.7644  3 Ho 3.58, 6 Pr 3.68, 3 Ca 3.87
2 Pr 0.2548 0.2548 0.2356  3 Ho 3.58, 6 Pr 3.68, 3 Ca 3.87
3 Ca 0.5000 0.5000 0.5000  6 Ca 3.68, 6 Pr 3.87
4 Ho 0.0000 0.0000 0.0000  6 Pr 3.58, 6 Ho 3.68



Record 9
This record from Alexandria describes HfGa6Cu6 after structural relaxation. The functional is GGA-PBE.

Output
N(E_F) in states/eV/cell: 2.76
VASP energy in eV/cell: -55.56
Total magnetic moment in μB/cell: 0.000
Formation energy in eV per atom: -0.221

abc: 5.1622 6.5430 6.5430
angles: 79.70 66.77 66.77
Closest atoms and distances in Å follow each position.
Atoms (fractional coordinates):
1 Hf 0.0000 0.0000 0.0000  8 Ga 2.90-2.96
2 Ga 0.3402 0.6598 0.6598  6 Cu 2.55-2.58, 1 Ga 2.75
3 Ga 0.6598 0.3402 0.3402  6 Cu 2.55-2.58, 1 Ga 2.75
4 Ga 0.0000 0.3459 0.6541  1 Ga 2.58, 6 Cu 2.64-2.72
5 Ga 0.0000 0.6541 0.3459  1 Ga 2.58, 6 Cu 2.64-2.72
6 Ga 0.3308 0.1692 0.1692  6 Cu 2.51-2.56
7 Ga 0.6692 0.8308 0.8308  6 Cu 2.51-2.56
8 Cu 0.0000 0.5000 0.0000  4 Cu 2.51-2.58, 6 Ga 2.56-2.64
9 Cu 0.5000 0.5000 0.0000  4 Cu 2.51-2.58, 6 Ga 2.56-2.64
10 Cu 0.0000 0.0000 0.5000  4 Cu 2.51-2.58, 6 Ga 2.56-2.64
11 Cu 0.5000 0.0000 0.5000  4 Cu 2.51-2.58, 6 Ga 2.56-2.64
12 Cu 0.5000 0.7561 0.2439  6 Ga 2.51-2.72, 4 Cu 2.51
13 Cu 0.5000 0.2439 0.7561  6 Ga 2.51-2.72, 4 Cu 2.51



Record 10
This record from Alexandria describes NaHfUS4 after structural relaxation. The functional is GGA-PBE.

Output
N(E_F) in states/eV/cell: 9.51
VASP energy in eV/cell: -98.20
Total magnetic moment in μB/cell: 5.713
Formation energy (no corrections) in eV/atom: -1.433

abc: 7.5889 7.9050 8.2638
angles: 121.51 90.00 118.69
Closest atoms and distances in Å follow each position.
Atoms (fractional coordinates):
1 Na 0.8608 0.7216 0.1108  4 S 2.68-2.70
2 Na 0.1392 0.2784 0.8892  4 S 2.68-2.70
3 Hf 0.5000 0.5000 0.5000  6 S 2.57-2.59
4 Hf 0.0000 0.5000 0.5000  6 S 2.57-2.59
5 U 0.5000 0.0000 0.5000  6 S 2.74-2.75
6 U 0.5000 0.0000 0.0000  6 S 2.74-2.75
7 S 0.7456 0.4911 0.7080  2 Hf 2.59, 1 Na 2.70, 1 U 2.75
8 S 0.2844 0.0396 0.2698  1 Hf 2.57, 1 Na 2.68, 2 U 2.74
9 S 0.7552 0.0396 0.2698  1 Hf 2.57, 1 Na 2.68, 2 U 2.74
10 S 0.7456 0.4911 0.2831  2 Hf 2.59, 1 Na 2.70, 1 U 2.75
11 S 0.2544 0.5089 0.7169  2 Hf 2.59, 1 Na 2.70, 1 U 2.75
12 S 0.7156 0.9604 0.7302  1 Hf 2.57, 1 Na 2.68, 2 U 2.74
13 S 0.2448 0.9604 0.7302  1 Hf 2.57, 1 Na 2.68, 2 U 2.74
14 S 0.2544 0.5089 0.2920  2 Hf 2.59, 1 Na 2.70, 1 U 2.75